No. 1
The following is a DFT calculation (PBE) of a relaxed structure of PuRhI.

Its crystal system is monoclinic. The space group is C2/m, No. 12. The uncorrected formation energy comes out at -396 meV per atom. The value obtained for the total energy is -8.1408 eV per atom.

Structure (CIF):
```
data_PuRhI
_cell_length_a 3.864
_cell_length_b 9.274
_cell_length_c 21.821
_cell_angle_alpha 163.41
_cell_angle_beta 90.00
_cell_angle_gamma 102.03
_symmetry_space_group_name_H-M 'P 1'
_symmetry_Int_Tables_number 1
loop_
_symmetry_equiv_pos_as_xyz
'x,y,z'
loop_
_atom_site_label
_atom_site_fract_x
_atom_site_fract_y
_atom_site_fract_z
_atom_site_occupancy
Rh1 0.838 0.676 0.808 1
Rh2 0.162 0.324 0.192 1
I1 0.139 0.278 0.843 1
I2 0.861 0.722 0.157 1
Pu1 0.959 0.918 0.556 1
Pu2 0.041 0.082 0.444 1
```


No. 2
The following is a DFT calculation (PBE) of a relaxed structure of Pu4RhI5.

Its crystal system is monoclinic. The space group is C2/m, No. 12. The uncorrected formation energy comes out at -847 meV per atom. The value obtained for the total energy is -8.0898 eV per atom.

Structure (CIF):
```
data_Pu4RhI5
_cell_length_a 4.222
_cell_length_b 8.979
_cell_length_c 9.815
_cell_angle_alpha 102.39
_cell_angle_beta 102.42
_cell_angle_gamma 90.00
_symmetry_space_group_name_H-M 'P 1'
_symmetry_Int_Tables_number 1
loop_
_symmetry_equiv_pos_as_xyz
'x,y,z'
loop_
_atom_site_label
_atom_site_fract_x
_atom_site_fract_y
_atom_site_fract_z
_atom_site_occupancy
Pu1 0.647 0.070 0.294 1
Pu2 0.999 0.213 0.999 1
Pu3 0.353 0.930 0.706 1
Pu4 0.001 0.787 0.001 1
Rh1 0.500 0.000 0.000 1
I1 0.168 0.340 0.336 1
I2 0.174 0.820 0.349 1
I3 0.826 0.180 0.651 1
I4 0.500 0.500 0.000 1
I5 0.832 0.660 0.664 1
```


No. 3
The following is a DFT calculation (PBE) of a relaxed structure of SmPuRhI.

Its crystal system is trigonal. The space group is R3m, No. 160. The uncorrected formation energy comes out at -714 meV per atom. The value obtained for the total energy is -7.7018 eV per atom.

Structure (CIF):
```
data_SmPuRhI
_cell_length_a 4.050
_cell_length_b 4.052
_cell_length_c 8.482
_cell_angle_alpha 90.00
_cell_angle_beta 103.82
_cell_angle_gamma 119.98
_symmetry_space_group_name_H-M 'P 1'
_symmetry_Int_Tables_number 1
loop_
_symmetry_equiv_pos_as_xyz
'x,y,z'
loop_
_atom_site_label
_atom_site_fract_x
_atom_site_fract_y
_atom_site_fract_z
_atom_site_occupancy
Sm1 0.507 0.151 0.674 1
Pu1 0.092 0.944 0.052 1
Rh1 0.308 0.552 0.875 1
I1 0.971 0.384 0.369 1
```


No. 4
The following is a DFT calculation (PBE) of a relaxed structure of Pu2RuI.

Its crystal system is tetragonal. The space group is P4/mmm, No. 123. The uncorrected formation energy comes out at -334 meV per atom. The value obtained for the total energy is -10.2061 eV per atom. The calculation puts the offset from the most stable computed form at 21 meV per atom.

Structure (CIF):
```
data_Pu2RuI
_cell_length_a 3.481
_cell_length_b 3.481
_cell_length_c 8.056
_cell_angle_alpha 90.00
_cell_angle_beta 90.00
_cell_angle_gamma 90.00
_symmetry_space_group_name_H-M 'P 1'
_symmetry_Int_Tables_number 1
loop_
_symmetry_equiv_pos_as_xyz
'x,y,z'
loop_
_atom_site_label
_atom_site_fract_x
_atom_site_fract_y
_atom_site_fract_z
_atom_site_occupancy
I1 0.500 0.500 0.500 1
Ru1 0.500 0.500 0.000 1
Pu1 0.000 0.000 0.795 1
Pu2 0.000 0.000 0.205 1
```


No. 5
The following is a DFT calculation (PBE) of a relaxed structure of PuRuI.

Its crystal system is monoclinic. The space group is C2/m, No. 12. The uncorrected formation energy comes out at 281 meV per atom. The value obtained for the total energy is -8.1051 eV per atom.

Structure (CIF):
```
data_PuRuI
_cell_length_a 3.638
_cell_length_b 7.872
_cell_length_c 9.725
_cell_angle_alpha 130.13
_cell_angle_beta 79.22
_cell_angle_gamma 76.64
_symmetry_space_group_name_H-M 'P 1'
_symmetry_Int_Tables_number 1
loop_
_symmetry_equiv_pos_as_xyz
'x,y,z'
loop_
_atom_site_label
_atom_site_fract_x
_atom_site_fract_y
_atom_site_fract_z
_atom_site_occupancy
Pu1 0.863 0.894 0.381 1
Pu2 0.137 0.106 0.619 1
Ru1 0.841 0.359 0.959 1
Ru2 0.159 0.641 0.041 1
I1 0.305 0.117 0.273 1
I2 0.695 0.883 0.727 1
```


No. 6
The following is a DFT calculation (PBE) of a relaxed structure of Pu2RuI.

Its crystal system is trigonal. The space group is R-3m, No. 166. The uncorrected formation energy comes out at -355 meV per atom. The value obtained for the total energy is -10.2274 eV per atom. The calculation puts the offset from the most stable computed form at 0 meV per atom.

Structure (CIF):
```
data_Pu2RuI
_cell_length_a 4.006
_cell_length_b 4.006
_cell_length_c 8.256
_cell_angle_alpha 75.96
_cell_angle_beta 75.96
_cell_angle_gamma 60.00
_symmetry_space_group_name_H-M 'P 1'
_symmetry_Int_Tables_number 1
loop_
_symmetry_equiv_pos_as_xyz
'x,y,z'
loop_
_atom_site_label
_atom_site_fract_x
_atom_site_fract_y
_atom_site_fract_z
_atom_site_occupancy
I1 0.500 0.500 0.500 1
Ru1 0.000 0.000 0.000 1
Pu1 0.271 0.271 0.188 1
Pu2 0.729 0.729 0.812 1
```


No. 7
The following is a DFT calculation (PBE) of a relaxed structure of Pu4RuI5.

Its crystal system is monoclinic. The space group is C2/m, No. 12. The uncorrected formation energy comes out at -797 meV per atom. The value obtained for the total energy is -8.2323 eV per atom.

Structure (CIF):
```
data_Pu4RuI5
_cell_length_a 4.200
_cell_length_b 8.911
_cell_length_c 9.774
_cell_angle_alpha 102.36
_cell_angle_beta 102.41
_cell_angle_gamma 90.00
_symmetry_space_group_name_H-M 'P 1'
_symmetry_Int_Tables_number 1
loop_
_symmetry_equiv_pos_as_xyz
'x,y,z'
loop_
_atom_site_label
_atom_site_fract_x
_atom_site_fract_y
_atom_site_fract_z
_atom_site_occupancy
Pu1 0.645 0.070 0.290 1
Pu2 0.999 0.209 0.999 1
Pu3 0.355 0.930 0.710 1
Pu4 0.001 0.791 0.001 1
Ru1 0.500 0.000 0.000 1
I1 0.168 0.341 0.335 1
I2 0.174 0.821 0.348 1
I3 0.826 0.179 0.652 1
I4 0.500 0.500 0.000 1
I5 0.832 0.659 0.665 1
```


No. 8
The following is a DFT calculation (PBE) of a relaxed structure of Pu2SI2.

Its crystal system is monoclinic. The space group is C2/m, No. 12. The uncorrected formation energy comes out at -1336 meV per atom. The value obtained for the total energy is -8.5139 eV per atom.

Structure (CIF):
```
data_Pu2SI2
_cell_length_a 4.159
_cell_length_b 4.159
_cell_length_c 11.807
_cell_angle_alpha 80.98
_cell_angle_beta 79.86
_cell_angle_gamma 60.00
_symmetry_space_group_name_H-M 'P 1'
_symmetry_Int_Tables_number 1
loop_
_symmetry_equiv_pos_as_xyz
'x,y,z'
loop_
_atom_site_label
_atom_site_fract_x
_atom_site_fract_y
_atom_site_fract_z
_atom_site_occupancy
Pu1 0.715 0.200 0.370 1
Pu2 0.285 0.800 0.630 1
S1 0.000 0.500 0.500 1
I1 0.447 0.913 0.193 1
I2 0.553 0.087 0.807 1
```


No. 9
The following is a DFT calculation (PBE) of a relaxed structure of Pu2SI.

Its crystal system is trigonal. The space group is R-3m, No. 166. The uncorrected formation energy comes out at -1148 meV per atom. The value obtained for the total energy is -9.7333 eV per atom.

Structure (CIF):
```
data_Pu2SI
_cell_length_a 4.054
_cell_length_b 4.054
_cell_length_c 7.812
_cell_angle_alpha 74.96
_cell_angle_beta 74.96
_cell_angle_gamma 60.00
_symmetry_space_group_name_H-M 'P 1'
_symmetry_Int_Tables_number 1
loop_
_symmetry_equiv_pos_as_xyz
'x,y,z'
loop_
_atom_site_label
_atom_site_fract_x
_atom_site_fract_y
_atom_site_fract_z
_atom_site_occupancy
I1 0.500 0.500 0.500 1
S1 0.000 0.000 0.000 1
Pu1 0.733 0.733 0.800 1
Pu2 0.267 0.267 0.200 1
```


No. 10
The following is a DFT calculation (PBE) of a relaxed structure of Pu4S6I.

Its crystal system is hexagonal. The space group is P-6m2, No. 187. The uncorrected formation energy comes out at -1398 meV per atom. The value obtained for the total energy is -9.0017 eV per atom.

Structure (CIF):
```
data_Pu4S6I
_cell_length_a 3.917
_cell_length_b 8.496
_cell_length_c 8.496
_cell_angle_alpha 120.00
_cell_angle_beta 90.00
_cell_angle_gamma 90.00
_symmetry_space_group_name_H-M 'P 1'
_symmetry_Int_Tables_number 1
loop_
_symmetry_equiv_pos_as_xyz
'x,y,z'
loop_
_atom_site_label
_atom_site_fract_x
_atom_site_fract_y
_atom_site_fract_z
_atom_site_occupancy
Pu1 0.500 0.817 0.634 1
Pu2 0.500 0.366 0.183 1
Pu3 0.500 0.817 0.183 1
Pu4 0.000 0.333 0.667 1
S1 0.000 0.542 0.083 1
S2 0.500 0.607 0.804 1
S3 0.000 0.542 0.458 1
S4 0.000 0.917 0.458 1
S5 0.500 0.196 0.804 1
S6 0.500 0.196 0.393 1
I1 0.000 0.000 0.000 1
```


No. 11
The following is a DFT calculation (PBE) of a relaxed structure of PuS2I.

Its crystal system is trigonal. The space group is P3m1, No. 156. The uncorrected formation energy comes out at -862 meV per atom. The value obtained for the total energy is -6.8967 eV per atom.

Structure (CIF):
```
data_PuS2I
_cell_length_a 3.910
_cell_length_b 3.910
_cell_length_c 10.835
_cell_angle_alpha 89.98
_cell_angle_beta 89.97
_cell_angle_gamma 59.99
_symmetry_space_group_name_H-M 'P 1'
_symmetry_Int_Tables_number 1
loop_
_symmetry_equiv_pos_as_xyz
'x,y,z'
loop_
_atom_site_label
_atom_site_fract_x
_atom_site_fract_y
_atom_site_fract_z
_atom_site_occupancy
Pu1 0.199 0.199 0.322 1
S1 0.532 0.532 0.194 1
S2 0.865 0.865 0.449 1
I1 0.532 0.533 0.807 1
```


No. 12
The following is a DFT calculation (PBE) of a relaxed structure of PuS2I.

Its crystal system is trigonal. The space group is R-3m, No. 166. The uncorrected formation energy comes out at -863 meV per atom. The value obtained for the total energy is -6.8971 eV per atom.

Structure (CIF):
```
data_PuS2I
_cell_length_a 3.910
_cell_length_b 3.910
_cell_length_c 10.766
_cell_angle_alpha 79.54
_cell_angle_beta 79.54
_cell_angle_gamma 60.00
_symmetry_space_group_name_H-M 'P 1'
_symmetry_Int_Tables_number 1
loop_
_symmetry_equiv_pos_as_xyz
'x,y,z'
loop_
_atom_site_label
_atom_site_fract_x
_atom_site_fract_y
_atom_site_fract_z
_atom_site_occupancy
I1 0.500 0.500 0.500 1
S1 0.289 0.289 0.132 1
S2 0.711 0.711 0.868 1
Pu1 0.000 0.000 0.000 1
```